(1)
# LiNi2Rh2 | Alexandria via LeMat-Bulk | PBE | relaxed
data_LiNi2Rh2
_space_group_name_H-M_alt 'P 4/m b m'
_space_group_IT_number 127
_space_group_name_Hall '-P 4 2ab'
_cell_length_a 7.2134
_cell_length_b 7.2134
_cell_length_c 2.6352
_cell_angle_alpha 90.00
_cell_angle_beta 90.00
_cell_angle_gamma 90.00
loop_
_atom_site_label
_atom_site_fract_x
_atom_site_fract_y
_atom_site_fract_z
Li1 0.0000 0.0000 0.0000
Ni1 0.1190 0.3810 0.0000
Rh1 0.1770 0.6770 0.5000
# **Fermi-level density of states**: 5.67 states/eV/f.u.
# **Energy relative to the lowest polymorph listed for this composition**: 0 meV/atom
# **Total magnetic moment**: 0.368 μB per atom



(2)
# CuMoPb2 | Alexandria via LeMat-Bulk | PBE | relaxed
data_CuMoPb2
_space_group_name_H-M_alt 'P 4 m m'
_space_group_IT_number 99
_space_group_name_Hall 'P 4 -2'
_cell_length_a 3.1017
_cell_length_b 3.1017
_cell_length_c 9.4075
_cell_angle_alpha 90.00
_cell_angle_beta 90.00
_cell_angle_gamma 90.00
loop_
_atom_site_label
_atom_site_fract_x
_atom_site_fract_y
_atom_site_fract_z
Cu1 0.0000 0.0000 0.0000
Mo1 0.5000 0.5000 0.1580
Pb1 0.0000 0.0000 0.3982
Pb2 0.5000 0.5000 0.7883
# **Fermi-level density of states**: 1.75 states/eV/f.u.
# **Energy relative to the lowest polymorph listed for this composition**: 0 meV/atom
# **Total magnetic moment**: 0.000 μB per atom



(3)
# HgWSe2 | Alexandria via LeMat-Bulk | PBE | relaxed
data_HgWSe2
_space_group_name_H-M_alt 'I m m 2'
_space_group_IT_number 44
_space_group_name_Hall 'I 2 -2'
_cell_length_a 3.1998
_cell_length_b 3.2618
_cell_length_c 19.2642
_cell_angle_alpha 90.00
_cell_angle_beta 90.00
_cell_angle_gamma 90.00
loop_
_atom_site_label
_atom_site_fract_x
_atom_site_fract_y
_atom_site_fract_z
Hg1 0.0000 0.0000 0.0000
W1 0.0000 0.5000 0.2541
Se1 0.0000 0.0000 0.6570
Se2 0.0000 0.5000 0.8224
# **ΔE_f (raw)**: -26 kJ/mol of formula units
# **Fermi-level density of states**: 1.39 states/eV/f.u.
# **Total magnetic moment**: 0.000 μB per atom



(4)
# LaSeO | Alexandria via LeMat-Bulk | PBE | relaxed
data_LaSeO
_space_group_name_H-M_alt 'I 4/m m m'
_space_group_IT_number 139
_space_group_name_Hall '-I 4 2'
_cell_length_a 4.2462
_cell_length_b 4.2462
_cell_length_c 14.4473
_cell_angle_alpha 90.00
_cell_angle_beta 90.00
_cell_angle_gamma 90.00
loop_
_atom_site_label
_atom_site_fract_x
_atom_site_fract_y
_atom_site_fract_z
La1 0.0000 0.0000 0.1689
Se1 0.0000 0.5000 0.0000
O1 0.0000 0.5000 0.2500
# **ΔE_f (raw)**: -735 kJ/mol of formula units
# **Fermi-level density of states**: 0.63 states/eV/f.u.
# **Total magnetic moment**: 0.000 μB per atom



(5)
# In2FeP | Alexandria via LeMat-Bulk | PBE | relaxed
data_In2FeP
_space_group_name_H-M_alt 'P 4/m m m'
_space_group_IT_number 123
_space_group_name_Hall '-P 4 2'
_cell_length_a 4.5761
_cell_length_b 4.5761
_cell_length_c 3.6050
_cell_angle_alpha 90.00
_cell_angle_beta 90.00
_cell_angle_gamma 90.00
loop_
_atom_site_label
_atom_site_fract_x
_atom_site_fract_y
_atom_site_fract_z
In1 0.0000 0.5000 0.0000
Fe1 0.0000 0.0000 0.5000
P1 0.5000 0.5000 0.5000
# **Fermi-level density of states**: 3.92 states/eV/f.u.
# **Energy**: -4.378 eV per atom
# **Total magnetic moment**: 0.615 μB per atom



(6)
# BaAgTe | Alexandria via LeMat-Bulk | PBE | relaxed
data_BaAgTe
_space_group_name_H-M_alt 'F -4 3 m'
_space_group_IT_number 216
_space_group_name_Hall 'F -4 2 3'
_cell_length_a 7.4865
_cell_length_b 7.4865
_cell_length_c 7.4865
_cell_angle_alpha 90.00
_cell_angle_beta 90.00
_cell_angle_gamma 90.00
loop_
_atom_site_label
_atom_site_fract_x
_atom_site_fract_y
_atom_site_fract_z
Ba1 0.0000 0.0000 0.0000
Ag1 0.2500 0.2500 0.2500
Te1 0.0000 0.0000 0.5000
# **ΔE_f (raw)**: -195 kJ/mol of formula units
# **Fermi-level density of states**: 2.11 states/eV/f.u.
# **Energy relative to the lowest polymorph listed for this composition**: 126 meV/atom
# **Total magnetic moment**: 0.000 μB per atom



(7)
# CePm8Er6 | Alexandria via LeMat-Bulk | PBE | relaxed
data_CePm8Er6
_space_group_name_H-M_alt 'P -3'
_space_group_IT_number 147
_space_group_name_Hall '-P 3'
_cell_length_a 9.8280
_cell_length_b 9.8280
_cell_length_c 5.8871
_cell_angle_alpha 90.00
_cell_angle_beta 90.00
_cell_angle_gamma 120.00
loop_
_atom_site_label
_atom_site_fract_x
_atom_site_fract_y
_atom_site_fract_z
Ce1 0.0000 0.0000 0.0000
Pm1 0.0501 0.7826 0.2687
Pm2 0.3333 0.6667 0.2734
Er1 0.0927 0.6193 0.7557
# **Fermi-level density of states**: 25.67 states/eV/f.u.
# **Energy**: -4.627 eV per atom
# **Total magnetic moment**: 0.000 μB per atom



(8)
# Ni2AuNCl | Alexandria via LeMat-Bulk | PBE | relaxed
data_Ni2AuNCl
_space_group_name_H-M_alt 'P 4/m m m'
_space_group_IT_number 123
_space_group_name_Hall '-P 4 2'
_cell_length_a 4.0845
_cell_length_b 4.0845
_cell_length_c 5.1235
_cell_angle_alpha 90.00
_cell_angle_beta 90.00
_cell_angle_gamma 90.00
loop_
_atom_site_label
_atom_site_fract_x
_atom_site_fract_y
_atom_site_fract_z
Ni1 0.0000 0.5000 0.0000
Au1 0.0000 0.0000 0.5000
N1 0.5000 0.5000 0.5000
Cl1 0.0000 0.0000 0.0000
# **ΔE_f (raw)**: 796 kJ/mol of formula units
# **Fermi-level density of states**: 4.81 states/eV/f.u.
# **Total magnetic moment**: 0.593 μB per atom